Crystalline Ba4Sr2Rh at its relaxed geometry, computed with GGA-PBE.

Lattice parameters (Å, degrees): 7.6476 7.7000 8.5489 63.78 63.56 60.57
Closest atoms and distances in Å follow each position.
Space group P-1 (No. 2)
Asymmetric unit:
Ba (0.0886, 0.3984, 0.2590) (multiplicity 2)  1 Rh 3.05
Ba (0.4038, 0.7568, 0.2614) (multiplicity 2)  1 Rh 3.05
Sr (0.2368, 0.9254, 0.7367) (multiplicity 2)  1 Rh 2.99
Rh (0.0000, 0.0000, 0.5000) (multiplicity 1)  2 Sr 2.99, 4 Ba 3.05

Results
As for the calculated formation energy: -0.148 eV per atom.